w.
# Tb12CuNi6 PBE optimized geometry
# M_tot = 0.0 μB/cell
# crystal system = cubic
data_Tb12CuNi6
_cell_length_a 8.3699
_cell_length_b 8.3699
_cell_length_c 8.3699
_cell_angle_alpha 109.47
_cell_angle_beta 109.47
_cell_angle_gamma 109.47
_space_group_name_H-M_alt 'P 1'
_space_group_IT_number 1
_space_group_name_Hall 'P 1'
loop_
_atom_site_label
_atom_site_type_symbol
_atom_site_fract_x
_atom_site_fract_y
_atom_site_fract_z
_atom_site_occupancy
Tb1 Tb 0.1158 0.3014 0.8144 1
Tb2 Tb 0.1856 0.4871 0.3014 1
Tb3 Tb 0.1856 0.8842 0.6986 1
Tb4 Tb 0.3014 0.1856 0.4871 1
Tb5 Tb 0.3014 0.8144 0.1158 1
Tb6 Tb 0.4871 0.3014 0.1856 1
Tb7 Tb 0.5129 0.6986 0.8144 1
Tb8 Tb 0.6986 0.1856 0.8842 1
Tb9 Tb 0.6986 0.8144 0.5129 1
Tb10 Tb 0.8144 0.1158 0.3014 1
Tb11 Tb 0.8144 0.5129 0.6986 1
Tb12 Tb 0.8842 0.6986 0.1856 1
Cu1 Cu 0.0000 0.0000 0.0000 1
Ni1 Ni 0.1251 0.5000 0.6251 1
Ni2 Ni 0.3749 0.8749 0.5000 1
Ni3 Ni 0.5000 0.3749 0.8749 1
Ni4 Ni 0.5000 0.6251 0.1251 1
Ni5 Ni 0.6251 0.1251 0.5000 1
Ni6 Ni 0.8749 0.5000 0.3749 1

***

x.
# Tb12CuNi6 PBE optimized geometry
# M_tot = 0.0 μB/cell
# crystal system = trigonal
data_Tb12CuNi6
_cell_length_a 8.0428
_cell_length_b 8.0428
_cell_length_c 8.0428
_cell_angle_alpha 99.78
_cell_angle_beta 99.78
_cell_angle_gamma 99.78
_space_group_name_H-M_alt 'P 1'
_space_group_IT_number 1
_space_group_name_Hall 'P 1'
loop_
_atom_site_label
_atom_site_type_symbol
_atom_site_fract_x
_atom_site_fract_y
_atom_site_fract_z
_atom_site_occupancy
Tb1 Tb 0.0586 0.6742 0.9130 1
Tb2 Tb 0.0870 0.9414 0.3258 1
Tb3 Tb 0.1797 0.4121 0.5729 1
Tb4 Tb 0.3258 0.0870 0.9414 1
Tb5 Tb 0.4121 0.5729 0.1797 1
Tb6 Tb 0.4271 0.8203 0.5879 1
Tb7 Tb 0.5729 0.1797 0.4121 1
Tb8 Tb 0.5879 0.4271 0.8203 1
Tb9 Tb 0.6742 0.9130 0.0586 1
Tb10 Tb 0.8203 0.5879 0.4271 1
Tb11 Tb 0.9130 0.0586 0.6742 1
Tb12 Tb 0.9414 0.3258 0.0870 1
Cu1 Cu 0.0000 0.0000 0.0000 1
Ni1 Ni 0.1326 0.6132 0.3120 1
Ni2 Ni 0.3120 0.1326 0.6132 1
Ni3 Ni 0.3868 0.6880 0.8674 1
Ni4 Ni 0.6132 0.3120 0.1326 1
Ni5 Ni 0.6880 0.8674 0.3868 1
Ni6 Ni 0.8674 0.3868 0.6880 1

***

We find w to be the most stable, with the next structure 136 meV per atom higher.